# 1
First-principles (PBE) data for a relaxed structure of CrRh4, as listed in Alexandria.

a = 2.699 Å, b = 2.699 Å, c = 9.602 Å
α = 98.08°, β = 98.08°, γ = 90.00°
Fractional positions:
Cr1 0.000 0.000 0.000
Rh1 0.592 0.592 0.185
Rh2 0.200 0.200 0.401
Rh3 0.800 0.800 0.599
Rh4 0.408 0.408 0.815

Summary:
Energy relative to the lowest polymorph listed for this composition: 0.029 eV per atom
E_tot: -7.8462 eV/atom
E_form: -19 kJ/mol of formula units

# 2
First-principles (PBE) data for a relaxed structure of ZrScPa2, as listed in Alexandria.

a = 4.986 Å, b = 4.409 Å, c = 4.409 Å
α = 90.00°, β = 90.00°, γ = 90.00°
Fractional positions:
Sc1 0.500 0.000 0.000
Pa1 0.000 0.000 0.500
Pa2 0.000 0.500 0.000
Zr1 0.500 0.500 0.500

Summary:
Energy relative to the lowest polymorph listed for this composition: 0.049 eV per atom
E_tot: -8.3425 eV/atom
E_form: 48 kJ/mol of formula units

# 3
First-principles (PBE) data for a relaxed structure of BaAc5Pr4, as listed in Alexandria.

a = 3.943 Å, b = 3.943 Å, c = 27.324 Å
α = 90.00°, β = 90.00°, γ = 90.00°
Fractional positions:
Ba1 0.000 0.000 0.000
Ac1 0.500 0.500 0.117
Ac2 0.500 0.500 0.308
Ac3 0.500 0.500 0.500
Ac4 0.500 0.500 0.692
Ac5 0.500 0.500 0.883
Pr1 0.000 0.000 0.211
Pr2 0.000 0.000 0.404
Pr3 0.000 0.000 0.596
Pr4 0.000 0.000 0.789

Summary:
E_tot: -4.1194 eV/atom
E_form: 38 kJ/mol of formula units

# 4
First-principles (PBE) data for a relaxed structure of ErGa2Cu5, as listed in Alexandria.

a = 3.673 Å, b = 6.241 Å, c = 6.241 Å
α = 67.13°, β = 72.89°, γ = 72.89°
Fractional positions:
Er1 0.000 0.000 0.000
Ga1 0.746 0.754 0.754
Ga2 0.254 0.246 0.246
Cu1 0.000 0.500 0.500
Cu2 0.631 0.557 0.181
Cu3 0.369 0.443 0.819
Cu4 0.369 0.819 0.443
Cu5 0.631 0.181 0.557

Summary:
E_tot: -4.0916 eV/atom
E_form: -158 kJ/mol of formula units

# 5
First-principles (PBE) data for a relaxed structure of La6GaPb2, as listed in Alexandria.

a = 4.615 Å, b = 8.725 Å, c = 8.597 Å
α = 120.49°, β = 90.00°, γ = 90.00°
Fractional positions:
La1 0.500 0.557 0.000
La2 0.500 0.412 0.410
La3 0.500 0.002 0.590
La4 0.000 0.264 0.000
La5 0.000 0.761 0.781
La6 0.000 0.980 0.219
Ga1 0.500 0.025 0.000
Pb1 0.000 0.322 0.646
Pb2 0.000 0.676 0.354

Summary:
E_tot: -4.9102 eV/atom
E_form: -404 kJ/mol of formula units

# 6
First-principles (PBE) data for a relaxed structure of Ac3HgPt, as listed in Alexandria.

a = 4.379 Å, b = 10.128 Å, c = 16.406 Å
α = 90.00°, β = 90.00°, γ = 90.00°
Fractional positions:
Ac1 0.750 0.173 0.296
Ac2 0.250 0.658 0.958
Ac3 0.250 0.995 0.106
Ac4 0.250 0.495 0.394
Ac5 0.250 0.158 0.542
Ac6 0.750 0.505 0.606
Ac7 0.250 0.327 0.796
Ac8 0.750 0.005 0.894
Ac9 0.750 0.342 0.042
Ac10 0.750 0.673 0.204
Ac11 0.750 0.842 0.458
Ac12 0.250 0.827 0.704
Hg1 0.250 0.889 0.302
Hg2 0.750 0.111 0.698
Hg3 0.750 0.611 0.802
Hg4 0.250 0.389 0.198
Pt1 0.250 0.687 0.542
Pt2 0.750 0.313 0.458
Pt3 0.750 0.813 0.042
Pt4 0.250 0.187 0.958

Summary:
Energy relative to the lowest polymorph listed for this composition: 0.000 eV per atom
E_tot: -4.3954 eV/atom
E_form: -319 kJ/mol of formula units

# 7
First-principles (PBE) data for a relaxed structure of PmHo2Tm, as listed in Alexandria.

a = 3.548 Å, b = 3.548 Å, c = 11.732 Å
α = 81.30°, β = 81.30°, γ = 60.00°
Fractional positions:
Tm1 0.500 0.500 0.500
Ho1 0.752 0.752 0.745
Ho2 0.248 0.248 0.255
Pm1 0.000 0.000 0.000

Summary:
Energy relative to the lowest polymorph listed for this composition: 0.013 eV per atom
E_tot: -4.5716 eV/atom
E_form: 9 kJ/mol of formula units

# 8
First-principles (PBE) data for a relaxed structure of BC2, as listed in Alexandria.

a = 2.590 Å, b = 2.590 Å, c = 13.174 Å
α = 90.00°, β = 90.00°, γ = 120.00°
Fractional positions:
B1 0.000 0.000 0.882
B2 0.667 0.333 0.713
B3 0.667 0.333 0.326
B4 0.000 0.000 0.495
C1 0.667 0.333 0.832
C2 0.333 0.667 0.657
C3 0.000 0.000 0.376
C4 0.333 0.667 0.551
C5 0.333 0.667 0.166
C6 0.667 0.333 0.201
C7 0.000 0.000 0.007
C8 0.333 0.667 0.042

Summary:
Energy relative to the lowest polymorph listed for this composition: 0.094 eV per atom
E_tot: -8.0415 eV/atom
E_form: 97 kJ/mol of formula units

# 9
First-principles (PBE) data for a relaxed structure of AgMoPt, as listed in Alexandria.

a = 2.807 Å, b = 2.807 Å, c = 7.282 Å
α = 79.00°, β = 79.00°, γ = 61.28°
Fractional positions:
Ag1 0.144 0.010 0.570
Mo1 0.687 0.552 0.917
Pt1 0.924 0.789 0.220

Summary:
Energy relative to the lowest polymorph listed for this composition: 0.214 eV per atom
E_tot: -6.4837 eV/atom
E_form: 26 kJ/mol of formula units

# 10
First-principles (PBE) data for a relaxed structure of CaZr2Tl, as listed in Alexandria.

a = 3.260 Å, b = 3.260 Å, c = 9.881 Å
α = 90.00°, β = 90.00°, γ = 90.00°
Fractional positions:
Tl1 0.500 0.500 0.750
Ca1 0.500 0.500 0.250
Zr1 0.000 0.000 0.964
Zr2 0.000 0.000 0.536

Summary:
Energy relative to the lowest polymorph listed for this composition: 0.245 eV per atom
E_tot: -5.1575 eV/atom
E_form: 80 kJ/mol of formula units

# 11
First-principles (PBE) data for a relaxed structure of LaTlGaAg, as listed in Alexandria.

a = 5.167 Å, b = 5.167 Å, c = 5.167 Å
α = 60.00°, β = 60.00°, γ = 60.00°
Fractional positions:
Tl1 0.000 0.000 0.000
Ga1 0.750 0.750 0.750
Ag1 0.250 0.250 0.250
La1 0.500 0.500 0.500

Summary:
E_tot: -3.5962 eV/atom
E_form: -117 kJ/mol of formula units

# 12
First-principles (PBE) data for a relaxed structure of ZrCoTc, as listed in Alexandria.

a = 4.202 Å, b = 4.202 Å, c = 4.202 Å
α = 60.00°, β = 60.00°, γ = 60.00°
Fractional positions:
Co1 0.750 0.750 0.750
Tc1 0.000 0.000 0.000
Zr1 0.500 0.500 0.500

Summary:
Energy relative to the lowest polymorph listed for this composition: 0.540 eV per atom
E_tot: -8.4262 eV/atom
E_form: 72 kJ/mol of formula units

# 13
First-principles (PBE) data for a relaxed structure of Na2Ge2Pt3, as listed in Alexandria.

a = 3.759 Å, b = 5.740 Å, c = 7.341 Å
α = 117.28°, β = 90.00°, γ = 109.11°
Fractional positions:
Na1 0.859 0.719 0.208
Na2 0.141 0.281 0.792
Ge1 0.851 0.701 0.750
Ge2 0.149 0.299 0.250
Pt1 0.500 0.000 0.000
Pt2 0.609 0.218 0.447
Pt3 0.391 0.782 0.553

Summary:
E_tot: -4.7065 eV/atom
E_form: -285 kJ/mol of formula units

# 14
First-principles (PBE) data for a relaxed structure of Ni12SbAs3, as listed in Alexandria.

a = 3.638 Å, b = 3.638 Å, c = 14.460 Å
α = 90.00°, β = 90.00°, γ = 90.00°
Fractional positions:
Ni1 0.500 0.500 0.000
Ni2 0.500 0.500 0.256
Ni3 0.500 0.500 0.500
Ni4 0.500 0.500 0.744
Ni5 0.500 0.000 0.133
Ni6 0.500 0.000 0.377
Ni7 0.500 0.000 0.623
Ni8 0.500 0.000 0.867
Ni9 0.000 0.500 0.133
Ni10 0.000 0.500 0.377
Ni11 0.000 0.500 0.623
Ni12 0.000 0.500 0.867
Sb1 0.000 0.000 0.000
As1 0.000 0.000 0.254
As2 0.000 0.000 0.500
As3 0.000 0.000 0.746

Summary:
Formation energy (no corrections): -144.1 meV/atom
E_tot: -5.6095 eV/atom

# 15
First-principles (PBE) data for a relaxed structure of CdSN2, as listed in Alexandria.

a = 7.751 Å, b = 7.751 Å, c = 7.751 Å
α = 20.54°, β = 20.54°, γ = 20.54°
Fractional positions:
S1 0.500 0.500 0.500
N1 0.877 0.877 0.877
N2 0.123 0.123 0.123
Cd1 0.000 0.000 0.000

Summary:
Energy relative to the lowest polymorph listed for this composition: 0.191 eV per atom
Formation energy (no corrections): 1101.9 meV/atom
E_tot: -4.3214 eV/atom

# 16
First-principles (PBE) data for a relaxed structure of SrHfCl3, as listed in Alexandria.

a = 5.043 Å, b = 5.043 Å, c = 5.043 Å
α = 90.00°, β = 90.00°, γ = 90.00°
Fractional positions:
Sr1 0.500 0.500 0.500
Hf1 0.000 0.000 0.000
Cl1 0.000 0.500 0.000
Cl2 0.000 0.000 0.500
Cl3 0.500 0.000 0.000

Summary:
Energy relative to the lowest polymorph listed for this composition: 0.000 eV per atom
Formation energy (no corrections): -1051.8 meV/atom
E_tot: -4.4868 eV/atom

# 17
First-principles (PBE) data for a relaxed structure of PrInPd, as listed in Alexandria.

a = 7.860 Å, b = 7.860 Å, c = 4.021 Å
α = 90.00°, β = 90.00°, γ = 120.00°
Fractional positions:
Pr1 0.411 0.411 0.500
Pr2 0.589 0.000 0.500
Pr3 0.000 0.589 0.500
In1 0.747 0.747 0.000
In2 0.253 0.000 0.000
In3 0.000 0.253 0.000
Pd1 0.667 0.333 0.000
Pd2 0.333 0.667 0.000
Pd3 0.000 0.000 0.500

Summary:
E_tot: -5.0084 eV/atom
E_form: -223 kJ/mol of formula units

# 18
First-principles (PBE) data for a relaxed structure of La4TbPr7, as listed in Alexandria.

a = 7.414 Å, b = 6.433 Å, c = 11.180 Å
α = 72.98°, β = 59.93°, γ = 89.94°
Fractional positions:
La1 0.503 0.669 0.331
La2 0.497 0.331 0.669
La3 0.749 0.832 0.667
La4 0.251 0.168 0.333
Tb1 0.000 0.000 0.000
Pr1 0.752 0.499 0.000
Pr2 0.248 0.501 0.000
Pr3 0.999 0.332 0.669
Pr4 0.001 0.668 0.331
Pr5 0.249 0.834 0.669
Pr6 0.500 0.000 0.000
Pr7 0.751 0.166 0.331

Summary:
Energy relative to the lowest polymorph listed for this composition: 0.000 eV per atom
E_tot: -4.8036 eV/atom
E_form: 15 kJ/mol of formula units

# 19
First-principles (PBE) data for a relaxed structure of DyY5Tl4, as listed in Alexandria.

a = 3.639 Å, b = 3.639 Å, c = 21.546 Å
α = 90.00°, β = 90.00°, γ = 90.00°
Fractional positions:
Dy1 0.000 0.000 0.000
Y1 0.500 0.500 0.114
Y2 0.500 0.500 0.306
Y3 0.500 0.500 0.500
Y4 0.500 0.500 0.694
Y5 0.500 0.500 0.886
Tl1 0.000 0.000 0.210
Tl2 0.000 0.000 0.403
Tl3 0.000 0.000 0.597
Tl4 0.000 0.000 0.790

Summary:
E_tot: -4.9398 eV/atom
E_form: -290 kJ/mol of formula units

# 20
First-principles (PBE) data for a relaxed structure of AcNdAl, as listed in Alexandria.

a = 5.347 Å, b = 5.347 Å, c = 5.347 Å
α = 60.00°, β = 60.00°, γ = 60.00°
Fractional positions:
Ac1 0.500 0.500 0.500
Nd1 0.000 0.000 0.000
Al1 0.250 0.250 0.250

Summary:
Energy relative to the lowest polymorph listed for this composition: 0.134 eV per atom
E_tot: -4.2167 eV/atom
E_form: -3 kJ/mol of formula units

# 21
First-principles (PBE) data for a relaxed structure of Be2PRh, as listed in Alexandria.

a = 6.224 Å, b = 6.224 Å, c = 5.041 Å
α = 51.88°, β = 51.88°, γ = 90.00°
Fractional positions:
P1 0.500 0.500 0.000
P2 0.250 0.750 0.500
Rh1 0.000 0.000 0.000
Rh2 0.750 0.250 0.500
Be1 0.588 0.125 0.250
Be2 0.162 0.625 0.250
Be3 0.375 0.412 0.750
Be4 0.875 0.838 0.750

Summary:
E_tot: -4.9982 eV/atom
E_form: 21 kJ/mol of formula units

# 22
First-principles (PBE) data for a relaxed structure of In6CuHg3, as listed in Alexandria.

a = 7.400 Å, b = 7.534 Å, c = 10.113 Å
α = 90.00°, β = 73.37°, γ = 90.00°
Fractional positions:
In1 0.685 0.133 0.968
In2 0.606 0.178 0.550
In3 0.696 0.456 0.236
In4 0.304 0.544 0.764
In5 0.394 0.822 0.450
In6 0.315 0.867 0.032
In7 0.185 0.367 0.468
In8 0.106 0.322 0.050
In9 0.196 0.044 0.736
In10 0.804 0.956 0.264
In11 0.894 0.678 0.950
In12 0.815 0.633 0.532
Cu1 0.500 0.500 0.500
Cu2 0.000 0.000 0.000
Hg1 0.621 0.872 0.759
Hg2 0.500 0.500 0.000
Hg3 0.379 0.128 0.241
Hg4 0.121 0.628 0.259
Hg5 0.000 0.000 0.500
Hg6 0.879 0.372 0.741

Summary:
E_tot: -2.0767 eV/atom
E_form: 64 kJ/mol of formula units

# 23
First-principles (PBE) data for a relaxed structure of Mg2OsPb, as listed in Alexandria.

a = 4.123 Å, b = 4.123 Å, c = 10.281 Å
α = 78.43°, β = 78.43°, γ = 90.00°
Fractional positions:
Pb1 0.000 0.000 0.000
Pb2 0.750 0.250 0.500
Mg1 0.597 0.125 0.250
Mg2 0.153 0.625 0.250
Mg3 0.375 0.403 0.750
Mg4 0.875 0.847 0.750
Os1 0.500 0.500 0.000
Os2 0.250 0.750 0.500

Summary:
E_tot: -3.8565 eV/atom
E_form: 261 kJ/mol of formula units

# 24
First-principles (PBE) data for a relaxed structure of KLaH2, as listed in Alexandria.

a = 6.000 Å, b = 6.000 Å, c = 7.224 Å
α = 65.46°, β = 65.46°, γ = 90.00°
Fractional positions:
H1 0.740 0.125 0.250
H2 0.010 0.625 0.250
H3 0.375 0.260 0.750
H4 0.875 0.990 0.750
K1 0.500 0.500 0.000
K2 0.250 0.750 0.500
La1 0.000 0.000 0.000
La2 0.750 0.250 0.500

Summary:
Energy relative to the lowest polymorph listed for this composition: 0.000 eV per atom
E_tot: -3.2940 eV/atom

# 25
First-principles (PBE) data for a relaxed structure of LiMg2Ta, as listed in Alexandria.

a = 2.962 Å, b = 2.962 Å, c = 8.741 Å
α = 90.00°, β = 90.00°, γ = 90.00°
Fractional positions:
Li1 0.500 0.500 0.750
Mg1 0.000 0.000 0.001
Mg2 0.000 0.000 0.499
Ta1 0.500 0.500 0.250

Summary:
Energy relative to the lowest polymorph listed for this composition: 0.000 eV per atom
E_tot: -4.0954 eV/atom
E_form: 55 kJ/mol of formula units